(1)
The following is a DFT calculation (PBE) of a relaxed structure of LaCrPS2.

Geometry as extended XYZ:
```
5
Lattice="4.741 0.000 0.000 0.000 4.741 0.000 0.000 0.000 4.434" Properties=species:S:1:pos:R:3 pbc="T T T"
La 0.000 0.000 0.000
Cr 2.370 2.370 2.217
P 2.370 2.370 0.000
S 0.000 2.370 2.217
S 2.370 0.000 2.217
```

## Properties
**Formation energy from raw total energies**: -0.901 eV per atom
**Spin magnetization**: 2.014 μB per formula unit
**DOS at the Fermi energy**: 0.34 states/eV per atom
**Distance to the lowest polymorph of the same formula**: 0.000 eV/atom
**E**: -6.54 eV/atom

(2)
The following is a DFT calculation (PBE) of a relaxed structure of La2TaCrP.

Geometry as extended XYZ:
```
5
Lattice="5.606 0.000 0.000 0.000 5.606 0.000 0.000 0.000 4.662" Properties=species:S:1:pos:R:3 pbc="T T T"
La 0.000 2.803 0.000
La 2.803 0.000 0.000
Ta 0.000 0.000 2.331
Cr 2.803 2.803 2.331
P 0.000 0.000 0.000
```

## Properties
**Spin magnetization**: 2.968 μB per formula unit
**DOS at the Fermi energy**: 1.10 states/eV per atom
**E**: -7.17 eV/atom